Here is a geometry-optimized Pr2AgBr structure from the Alexandria database. Energies are from PBE.

Cell lengths 8.3206, 8.3206, 8.3206 Å; angles 29.27, 29.27, 29.27 degrees
Last column: nearest neighbours and their distance in Å.
Sites, in units of the cell vectors:
1 Pr 0.0000 0.0000 0.0000  3 Ag 3.05, 3 Br 3.26
2 Pr 0.1803 0.1803 0.1803  3 Ag 3.03, 3 Br 3.22
3 Ag 0.5895 0.5895 0.5895  6 Pr 3.03-3.05
4 Br 0.7580 0.7580 0.7580  6 Pr 3.22-3.26

Values from the calculation:
Its offset from the most stable computed form is 0.18 eV per formula unit. The calculation puts the formation energy from raw total energies at -0.60 eV/atom. The calculated density comes out at 6.400 g cm⁻³.